Entry 1:
PBE-GGA Sm3TmSc3S8, optimized geometry; total DFT energy (no corrections) = -6.694 eV/atom; space-group type = No. 166; raw formation energy = -191 kJ/mol of atoms
1.0
7.621 0.000 0.000
-3.811 6.600 -0.023
0.000 -4.378 6.405
Sm S Sc Tm
3 8 3 1
Direct
0.000 0.000 0.000
0.500 0.500 0.000
0.000 0.500 0.000
0.734 0.983 0.733
0.250 0.983 0.733
0.750 0.017 0.267
0.250 0.499 0.733
0.266 0.017 0.267
0.258 0.516 0.275
0.750 0.501 0.267
0.742 0.484 0.725
0.500 0.500 0.500
0.000 0.500 0.500
0.500 0.000 0.500
0.000 0.000 0.500

---

Entry 2:
PBE-GGA Sm2YScS6, optimized geometry; total DFT energy (no corrections) = -6.692 eV/atom; space-group type = No. 146; raw formation energy = -192 kJ/mol of atoms
1.0
6.907 0.000 0.000
3.454 5.982 0.000
3.453 1.994 6.089
S Sm Sc Y
6 2 1 1
Direct
0.949 0.593 0.255
0.431 0.694 0.763
0.593 0.204 0.255
0.204 0.949 0.255
0.111 0.432 0.763
0.694 0.111 0.763
0.523 0.523 0.431
0.021 0.021 0.938
0.320 0.319 0.041
0.816 0.817 0.551

---

Entry 3:
PBE-GGA Sm4YSc3S8, optimized geometry; total DFT energy (no corrections) = -6.775 eV/atom; space-group type = No. 166; raw formation energy = -187 kJ/mol of atoms
1.0
7.712 0.000 0.000
0.000 7.823 0.073
-3.856 -3.852 5.456
S Sm Sc Y
8 4 3 1
Direct
0.247 0.729 0.982
0.741 0.724 0.483
0.265 0.271 0.018
0.247 0.729 0.494
0.735 0.729 0.982
0.259 0.276 0.517
0.753 0.271 0.506
0.753 0.271 0.018
0.000 0.000 0.500
0.500 0.000 0.500
0.000 0.000 0.000
0.500 0.000 0.000
0.500 0.500 0.000
0.500 0.500 0.500
0.000 0.500 0.500
0.000 0.500 0.000